# 1
{
  "formula": "AlBiRh",
  "functional": "PBE",
  "state": "optimized geometry",
  "lattice_angstrom": [[3.100, 0.000, -0.019], [0.000, 3.108, 0.000], [-3.165, 0.000, 25.393]],
  "species": ["Rh", "Rh", "Rh", "Rh", "Al", "Al", "Al", "Al", "Bi", "Bi", "Bi", "Bi"],
  "frac_coords": [[0.569, 0.500, 0.764], [0.445, 0.000, 0.147], [0.445, 0.500, 0.647], [0.569, 0.000, 0.264], [0.128, 0.500, 0.319], [0.128, 0.000, 0.819], [0.004, 0.000, 0.703], [0.004, 0.500, 0.203], [0.240, 0.500, 0.431], [0.861, 0.000, 0.569], [0.861, 0.500, 0.069], [0.240, 0.000, 0.931]],
  "magnetic_moment_mub_per_fu": 0.0,
  "formation_energy_ev_per_atom": -0.49,
  "e_tot_ev_per_atom": -5.48
}

# 2
{
  "formula": "Th2CrCo3B12",
  "functional": "PBE",
  "state": "optimized geometry",
  "lattice_angstrom": [[-1.088, -7.994, -0.628], [2.321, -6.274, -4.552], [4.147, -6.925, 0.569]],
  "species": ["Co", "Co", "Co", "Th", "Th", "B", "B", "B", "B", "B", "B", "B", "B", "B", "B", "B", "B", "Cr"],
  "frac_coords": [[0.000, 0.000, 0.500], [0.000, 0.500, 0.000], [0.500, 0.000, 0.000], [0.640, 0.640, 0.640], [0.360, 0.360, 0.360], [0.975, 0.660, 0.660], [0.325, 0.949, 0.949], [0.949, 0.325, 0.949], [0.675, 0.051, 0.051], [0.051, 0.051, 0.675], [0.660, 0.975, 0.660], [0.051, 0.675, 0.051], [0.340, 0.340, 0.025], [0.949, 0.949, 0.325], [0.025, 0.340, 0.340], [0.340, 0.025, 0.340], [0.660, 0.660, 0.975], [0.000, 0.000, 0.000]],
  "magnetic_moment_mub_per_fu": 0.0,
  "formation_energy_ev_per_atom": 0.05,
  "e_tot_ev_per_atom": -6.95
}

# 3
{
  "formula": "Li3HfTi2Se6",
  "functional": "PBE",
  "state": "optimized geometry",
  "lattice_angstrom": [[6.457, -0.022, -0.001], [-3.246, 5.582, -0.001], [-1.071, -1.855, 6.496]],
  "species": ["Ti", "Ti", "Li", "Li", "Li", "Se", "Se", "Se", "Se", "Se", "Se", "Hf"],
  "frac_coords": [[0.679, 0.321, 0.000], [0.321, 0.679, 0.000], [0.158, 0.842, 0.500], [0.842, 0.158, 0.500], [0.500, 0.500, 0.500], [0.420, 0.085, 0.245], [0.085, 0.420, 0.245], [0.915, 0.580, 0.755], [0.580, 0.915, 0.755], [0.736, 0.736, 0.233], [0.264, 0.264, 0.767], [0.000, 0.000, 0.000]],
  "magnetic_moment_mub_per_fu": 2.5,
  "e_form_raw_ev_per_atom": -1.238,
  "e_tot_ev_per_atom": -5.60
}

# 4
{
  "formula": "SnOsCl3",
  "functional": "PBE",
  "state": "optimized geometry",
  "lattice_angstrom": [[4.821, 0.000, 0.000], [0.000, 4.821, 0.000], [0.000, 0.000, 4.821]],
  "species": ["Cl", "Cl", "Cl", "Sn", "Os"],
  "frac_coords": [[0.000, 0.500, 0.000], [0.000, 0.000, 0.500], [0.500, 0.000, 0.000], [0.500, 0.500, 0.500], [0.000, 0.000, 0.000]],
  "magnetic_moment_mub_per_fu": 0.0,
  "polymorph_energy_kj_per_mol_fu": 0.0,
  "e_form_raw_ev_per_atom": 0.288,
  "e_tot_ev_per_atom": -3.87
}

# 5
{
  "formula": "Al2AuCl",
  "functional": "PBE",
  "state": "optimized geometry",
  "lattice_angstrom": [[6.235, 0.000, 0.000], [0.000, 6.235, 0.000], [3.117, 3.117, 5.443]],
  "species": ["Au", "Au", "Al", "Al", "Al", "Al", "Cl", "Cl"],
  "frac_coords": [[0.000, 0.000, 0.000], [0.750, 0.250, 0.500], [0.875, 0.912, 0.750], [0.375, 0.338, 0.750], [0.088, 0.625, 0.250], [0.662, 0.125, 0.250], [0.250, 0.750, 0.500], [0.500, 0.500, 0.000]],
  "magnetic_moment_mub_per_fu": 0.0,
  "polymorph_energy_kj_per_mol_fu": 126.8,
  "e_form_raw_ev_per_atom": -0.170,
  "e_tot_ev_per_atom": -3.32
}

# 6
{
  "formula": "Dy12HoAl3",
  "functional": "PBE",
  "state": "optimized geometry",
  "lattice_angstrom": [[4.792, 0.000, 0.000], [0.000, 4.792, 0.000], [0.000, 0.000, 19.499]],
  "species": ["Al", "Al", "Al", "Dy", "Dy", "Dy", "Dy", "Dy", "Dy", "Dy", "Dy", "Dy", "Dy", "Dy", "Dy", "Ho"],
  "frac_coords": [[0.000, 0.000, 0.742], [0.000, 0.000, 0.258], [0.000, 0.000, 0.500], [0.000, 0.500, 0.378], [0.500, 0.000, 0.866], [0.000, 0.500, 0.866], [0.500, 0.500, 0.000], [0.500, 0.500, 0.743], [0.000, 0.500, 0.622], [0.500, 0.000, 0.378], [0.500, 0.000, 0.134], [0.500, 0.000, 0.622], [0.500, 0.500, 0.500], [0.500, 0.500, 0.257], [0.000, 0.500, 0.134], [0.000, 0.000, 0.000]],
  "magnetic_moment_mub_per_fu": 0.0,
  "formation_energy_ev_per_atom": -0.13,
  "e_tot_ev_per_atom": -4.57
}